VASP calculation (PBE) on crystalline SnBi3Ir at its relaxed geometry.

```
SnBi3Ir
1.0
5.601 -4.515 0.000
5.601 4.515 0.000
-4.305 0.000 5.514
Sn Bi Ir
2 6 2
direct
0.056 0.056 0.263
0.944 0.944 0.737
0.031 0.427 0.755
0.427 0.031 0.755
0.451 0.451 0.682
0.549 0.549 0.318
0.573 0.969 0.245
0.969 0.573 0.245
0.239 0.239 0.116
0.761 0.761 0.884
```

Output
- Calculated formation energy: 26 meV per atom
- Energy above the most stable polymorph in this dataset: 0 kJ/mol of formula units
- Space-group type: C2/m, No. 12



VASP calculation (PBE) on crystalline Sn3BiIr at its relaxed geometry.

```
Sn3BiIr
1.0
5.706 0.000 0.000
0.000 5.706 0.000
0.000 0.000 5.706
Sn Bi Ir
3 1 1
direct
0.000 0.000 0.500
0.000 0.500 0.000
0.500 0.000 0.000
0.000 0.000 0.000
0.500 0.500 0.500
```

Output
- Calculated formation energy: 1680 meV per atom
- Energy above the most stable polymorph in this dataset: 786 kJ/mol of formula units
- Space-group type: Pm-3m, No. 221



VASP calculation (PBE) on crystalline SnBi5Ir3 at its relaxed geometry.

```
SnBi5Ir3
1.0
5.437 0.000 0.000
0.000 4.135 0.000
-0.170 0.000 20.685
Sn Bi Ir
2 10 6
direct
0.246 0.000 0.273
0.754 0.000 0.727
0.041 0.000 0.426
0.214 0.500 0.783
0.222 0.500 0.119
0.281 0.000 0.953
0.459 0.500 0.596
0.541 0.500 0.404
0.719 0.000 0.047
0.778 0.500 0.881
0.786 0.500 0.217
0.959 0.000 0.574
0.000 0.500 0.000
0.045 0.500 0.336
0.493 0.000 0.831
0.500 0.000 0.500
0.507 0.000 0.169
0.955 0.500 0.664
```

Output
- Calculated formation energy: 27 meV per atom
- Space-group type: P2/m, No. 10



VASP calculation (PBE) on crystalline Sn4BiIr at its relaxed geometry.

```
Sn4BiIr
1.0
4.881 -5.839 0.000
4.881 5.839 0.000
-1.454 0.000 5.551
Sn Bi Ir
8 2 2
direct
0.090 0.701 0.933
0.143 0.318 0.587
0.299 0.910 0.567
0.318 0.143 0.087
0.682 0.857 0.913
0.701 0.090 0.433
0.857 0.682 0.413
0.910 0.299 0.067
0.424 0.576 0.250
0.576 0.424 0.750
0.021 0.979 0.250
0.979 0.021 0.750
```

Output
- Calculated formation energy: -52 meV per atom
- Space-group type: C2/c, No. 15



VASP calculation (PBE) on crystalline Sn2Bi2Ir at its relaxed geometry.

```
Sn2Bi2Ir
1.0
6.966 0.000 0.000
0.000 6.966 0.000
0.000 0.000 5.426
Sn Bi Ir
4 4 2
direct
0.150 0.350 0.000
0.350 0.850 0.000
0.650 0.150 0.000
0.850 0.650 0.000
0.170 0.670 0.500
0.330 0.170 0.500
0.670 0.830 0.500
0.830 0.330 0.500
0.000 0.000 0.000
0.500 0.500 0.000
```

Output
- Calculated formation energy: 215 meV per atom
- Space-group type: P4/mbm, No. 127



VASP calculation (PBE) on crystalline Sn2BiIr at its relaxed geometry.

```
Sn2BiIr
1.0
-3.117 3.117 6.779
3.117 -3.117 6.779
3.117 3.117 -6.779
Sn Bi Ir
4 2 2
direct
0.058 0.625 0.933
0.375 0.308 0.433
0.692 0.125 0.067
0.875 0.942 0.567
0.250 0.750 0.500
0.500 0.500 0.000
0.000 0.000 0.000
0.750 0.250 0.500
```

Output
- Calculated formation energy: 245 meV per atom
- Space-group type: I-42d, No. 122



VASP calculation (PBE) on crystalline SnBiIr2 at its relaxed geometry.

```
SnBiIr2
1.0
-3.000 3.000 6.132
3.000 -3.000 6.132
3.000 3.000 -6.132
Sn Bi Ir
2 2 4
direct
0.000 0.000 0.000
0.750 0.250 0.500
0.250 0.750 0.500
0.500 0.500 0.000
0.117 0.625 0.992
0.375 0.367 0.492
0.633 0.125 0.008
0.875 0.883 0.508
```

Output
- Calculated formation energy: 526 meV per atom
- Energy above the most stable polymorph in this dataset: 66 kJ/mol of formula units
- Space-group type: I-42d, No. 122



VASP calculation (PBE) on crystalline Sn3BiIr at its relaxed geometry.

```
Sn3BiIr
1.0
5.201 0.000 0.000
0.000 5.201 0.000
0.000 0.000 5.201
Sn Bi Ir
3 1 1
direct
0.000 0.000 0.500
0.000 0.500 0.000
0.500 0.000 0.000
0.500 0.500 0.500
0.000 0.000 0.000
```

Output
- Calculated formation energy: 51 meV per atom
- Energy above the most stable polymorph in this dataset: 0 kJ/mol of formula units
- Space-group type: Pm-3m, No. 221



VASP calculation (PBE) on crystalline SnBiIr2 at its relaxed geometry.

```
SnBiIr2
1.0
0.000 3.371 3.371
3.371 0.000 3.371
3.371 3.371 0.000
Sn Bi Ir
1 1 2
direct
0.000 0.000 0.000
0.500 0.500 0.500
0.250 0.250 0.250
0.750 0.750 0.750
```

Output
- Calculated formation energy: 355 meV per atom
- Energy above the most stable polymorph in this dataset: 0 kJ/mol of formula units
- Space-group type: Fm-3m, No. 225



VASP calculation (PBE) on crystalline SnBi2Ir at its relaxed geometry.

```
SnBi2Ir
1.0
5.074 -2.897 0.000
5.074 2.897 0.000
-1.451 0.000 3.572
Sn Bi Ir
1 2 1
direct
0.000 0.000 0.000
0.358 0.273 0.816
0.727 0.642 0.184
0.323 0.677 0.500
```

Output
- Calculated formation energy: 99 meV per atom
- Space-group type: C2, No. 5



VASP calculation (PBE) on crystalline SrSn2BiIr at its relaxed geometry.

```
SrSn2BiIr
1.0
5.073 0.000 0.000
0.000 5.073 0.000
0.000 0.000 6.136
Sr Sn Bi Ir
1 2 1 1
direct
0.000 0.000 0.000
0.000 0.500 0.500
0.500 0.000 0.500
0.500 0.500 0.000
0.500 0.500 0.500
```

Output
- Calculated formation energy: -105 meV per atom
- Space-group type: P4/mmm, No. 123



VASP calculation (PBE) on crystalline Sn2BiIrW at its relaxed geometry.

```
Sn2BiIrW
1.0
5.698 0.000 0.000
0.000 5.698 0.000
0.000 0.000 4.966
Sn Bi Ir W
2 1 1 1
direct
0.000 0.500 0.000
0.500 0.000 0.000
0.000 0.000 0.000
0.000 0.000 0.500
0.500 0.500 0.500
```

Output
- Calculated formation energy: 2172 meV per atom
- Space-group type: P4/mmm, No. 123



VASP calculation (PBE) on crystalline ZnSn2BiIr at its relaxed geometry.

```
ZnSn2BiIr
1.0
5.071 0.000 0.000
0.000 5.071 0.000
0.000 0.000 5.675
Zn Sn Bi Ir
1 2 1 1
direct
0.000 0.000 0.000
0.000 0.500 0.500
0.500 0.000 0.500
0.500 0.500 0.000
0.500 0.500 0.500
```

Output
- Calculated formation energy: 327 meV per atom
- Space-group type: P4/mmm, No. 123



VASP calculation (PBE) on crystalline SrBiIr3 at its relaxed geometry.

```
SrBiIr3
1.0
5.058 0.000 0.000
0.000 5.058 0.000
0.000 0.000 5.058
Sr Bi Ir
1 1 3
direct
0.000 0.000 0.000
0.500 0.500 0.500
0.000 0.500 0.500
0.500 0.000 0.500
0.500 0.500 0.000
```

Output
- Calculated formation energy: 1134 meV per atom
- Energy above the most stable polymorph in this dataset: 0 kJ/mol of formula units
- Space-group type: Pm-3m, No. 221



VASP calculation (PBE) on crystalline Sr3BiIr at its relaxed geometry.

```
Sr3BiIr
1.0
5.712 0.000 0.000
0.000 5.712 0.000
0.000 0.000 5.712
Sr Bi Ir
3 1 1
direct
0.000 0.000 0.500
0.000 0.500 0.000
0.500 0.000 0.000
0.500 0.500 0.500
0.000 0.000 0.000
```

Output
- Calculated formation energy: -398 meV per atom
- Space-group type: Pm-3m, No. 221



VASP calculation (PBE) on crystalline SrBiIr at its relaxed geometry.

```
SrBiIr
1.0
3.126 1.805 13.727
-3.126 1.805 13.727
0.000 -3.610 13.727
Sr Bi Ir
6 6 6
direct
0.037 0.037 0.037
0.182 0.182 0.182
0.274 0.274 0.274
0.726 0.726 0.726
0.818 0.818 0.818
0.963 0.963 0.963
0.227 0.722 0.722
0.278 0.278 0.773
0.278 0.773 0.278
0.722 0.227 0.722
0.722 0.722 0.227
0.773 0.278 0.278
0.000 0.500 0.500
0.383 0.383 0.383
0.500 0.000 0.500
0.500 0.500 0.000
0.500 0.500 0.500
0.617 0.617 0.617
```

Output
- Calculated formation energy: -152 meV per atom
- Space-group type: R-3m, No. 166



VASP calculation (PBE) on crystalline SrBi3Ir at its relaxed geometry.

```
SrBi3Ir
1.0
5.938 0.000 0.000
0.000 5.938 0.000
0.000 0.000 5.938
Sr Bi Ir
1 3 1
direct
0.000 0.000 0.000
0.000 0.000 0.500
0.000 0.500 0.000
0.500 0.000 0.000
0.500 0.500 0.500
```

Output
- Calculated formation energy: 1724 meV per atom
- Energy above the most stable polymorph in this dataset: 965 kJ/mol of formula units
- Space-group type: Pm-3m, No. 221



VASP calculation (PBE) on crystalline Sr2Bi2Ir at its relaxed geometry.

```
Sr2Bi2Ir
1.0
7.577 0.000 0.000
0.000 7.577 0.000
0.000 0.000 5.165
Sr Bi Ir
4 4 2
direct
0.168 0.332 0.000
0.332 0.832 0.000
0.668 0.168 0.000
0.832 0.668 0.000
0.150 0.650 0.500
0.350 0.150 0.500
0.650 0.850 0.500
0.850 0.350 0.500
0.000 0.000 0.500
0.500 0.500 0.500
```

Output
- Calculated formation energy: -349 meV per atom
- Space-group type: P4/mbm, No. 127



VASP calculation (PBE) on crystalline SrBi3Ir at its relaxed geometry.

```
SrBi3Ir
1.0
5.497 0.000 0.000
0.000 5.497 0.000
0.000 0.000 5.497
Sr Bi Ir
1 3 1
direct
0.000 0.000 0.000
0.000 0.500 0.500
0.500 0.000 0.500
0.500 0.500 0.000
0.500 0.500 0.500
```

Output
- Calculated formation energy: 66 meV per atom
- Energy above the most stable polymorph in this dataset: 165 kJ/mol of formula units
- Space-group type: Pm-3m, No. 221



VASP calculation (PBE) on crystalline SrBi3Ir at its relaxed geometry.

```
SrBi3Ir
1.0
7.164 0.000 0.000
0.000 6.398 0.000
0.000 0.000 6.554
Sr Bi Ir
2 6 2
direct
0.000 0.149 0.000
0.500 0.851 0.500
0.000 0.884 0.547
0.247 0.328 0.444
0.253 0.672 0.944
0.500 0.116 0.047
0.747 0.672 0.944
0.753 0.328 0.444
0.000 0.594 0.248
0.500 0.406 0.748
```

Output
- Calculated formation energy: -277 meV per atom
- Energy above the most stable polymorph in this dataset: 0 kJ/mol of formula units
- Space-group type: Pmn2_1, No. 31



VASP calculation (PBE) on crystalline SrBiIr2 at its relaxed geometry.

```
SrBiIr2
1.0
-3.902 3.902 3.188
3.902 -3.902 3.188
3.902 3.902 -3.188
Sr Bi Ir
2 2 4
direct
0.000 0.000 0.000
0.750 0.250 0.500
0.250 0.750 0.500
0.500 0.500 0.000
0.168 0.625 0.043
0.375 0.418 0.543
0.582 0.125 0.957
0.875 0.832 0.457
```

Output
- Calculated formation energy: 517 meV per atom
- Space-group type: I-42d, No. 122



VASP calculation (PBE) on crystalline SrTlBiIr2 at its relaxed geometry.

```
SrTlBiIr2
1.0
5.183 0.000 0.000
0.000 5.183 0.000
0.000 0.000 6.050
Sr Tl Bi Ir
1 1 1 2
direct
0.000 0.000 0.000
0.500 0.500 0.500
0.000 0.000 0.500
0.000 0.500 0.000
0.500 0.000 0.000
```

Output
- Calculated formation energy: 1847 meV per atom
- Space-group type: P4/mmm, No. 123



VASP calculation (PBE) on crystalline SrTl2BiIr at its relaxed geometry.

```
SrTl2BiIr
1.0
6.160 0.000 0.000
0.000 6.160 0.000
0.000 0.000 6.029
Sr Tl Bi Ir
1 2 1 1
direct
0.000 0.000 0.000
0.000 0.500 0.000
0.500 0.000 0.000
0.000 0.000 0.500
0.500 0.500 0.500
```

Output
- Calculated formation energy: 1563 meV per atom
- Space-group type: P4/mmm, No. 123



VASP calculation (PBE) on crystalline Sr2ZrBiIr at its relaxed geometry.

```
Sr2ZrBiIr
1.0
5.789 0.000 0.000
0.000 5.789 0.000
0.000 0.000 5.187
Sr Zr Bi Ir
2 1 1 1
direct
0.000 0.500 0.000
0.500 0.000 0.000
0.000 0.000 0.500
0.500 0.500 0.500
0.500 0.500 0.000
```

Output
- Calculated formation energy: 416 meV per atom
- Space-group type: P4/mmm, No. 123



VASP calculation (PBE) on crystalline TaBiIr3 at its relaxed geometry.

```
TaBiIr3
1.0
4.833 0.000 0.000
0.000 4.833 0.000
0.000 0.000 4.833
Ta Bi Ir
1 1 3
direct
0.000 0.000 0.000
0.500 0.500 0.500
0.000 0.000 0.500
0.000 0.500 0.000
0.500 0.000 0.000
```

Output
- Calculated formation energy: 1138 meV per atom
- Energy above the most stable polymorph in this dataset: 0 kJ/mol of formula units
- Space-group type: Pm-3m, No. 221